DFT (PBE) results for Ho4ErAg5 after structural relaxation.

Unit cell a=3.6010 b=3.6010 c=18.0475 alpha=90.00 beta=90.00 gamma=90.00
Closest atoms and distances in Å follow each position.
Space group P4/mmm (No. 123)
Inequivalent atoms, fractional coordinates:
1 Ho 0.0000 0.0000 0.1002 x2  8 Ag 3.12
2 Ho 0.0000 0.0000 0.3006 x2  8 Ag 3.12-3.13
3 Er 0.0000 0.0000 0.5000 x1  8 Ag 3.11
4 Ag 0.5000 0.5000 0.0000 x1  8 Ho 3.12
5 Ag 0.5000 0.5000 0.2003 x2  8 Ho 3.12
6 Ag 0.5000 0.5000 0.4011 x2  4 Er 3.11, 4 Ho 3.13

Calculated values
Formation energy (meV/atom): -342